(1)
Entry from the Alexandria database: ZrSbS3 at its PBEsol-relaxed geometry (meta-GGA SCAN).

It has space group Pm-3m (No. 221), with a = 4.880 Å, b = 4.880 Å, c = 4.880 Å, α = 90.00°, β = 90.00° and γ = 90.00°. The asymmetric unit holds Zr at (0.000, 0.000, 0.000), Sb at (0.500, 0.500, 0.500) and S at (0.000, 0.500, 0.500).

The value obtained for the raw formation energy is 0.209 eV per atom. The magnetic moment comes out at 1.49 μB/f.u. The density of states at the Fermi level comes out at 2.52 states/eV/f.u.

---

(2)
Entry from the Alexandria database: TaPtPb at its PBEsol-relaxed geometry (meta-GGA SCAN).

It has space group F-43m (No. 216), with a = 6.387 Å, b = 6.387 Å, c = 6.387 Å, α = 90.00°, β = 90.00° and γ = 90.00°. The asymmetric unit holds Ta at (0.000, 0.000, 0.000), Pt at (0.250, 0.250, 0.250) and Pb at (0.250, 0.250, 0.750).

Its formation enthalpy at 0 K is 0.253 eV per atom. The magnetic moment comes out at 0.00 μB/f.u. The density of states at the Fermi level comes out at 1.72 states/eV/f.u.

---

(3)
Entry from the Alexandria database: BaCuO3 at its PBEsol-relaxed geometry (meta-GGA SCAN).

It has space group Pm-3m (No. 221), with a = 3.946 Å, b = 3.946 Å, c = 3.946 Å, α = 90.00°, β = 90.00° and γ = 90.00°. The asymmetric unit holds Ba at (0.000, 0.000, 0.000), Cu at (0.500, 0.500, 0.500) and O at (0.000, 0.500, 0.500).

The value obtained for the raw formation energy is -1.456 eV per atom. The magnetic moment comes out at 0.51 μB/f.u. The density of states at the Fermi level comes out at 3.60 states/eV/f.u.

---

(4)
Entry from the Alexandria database: BaIn2Br at its PBEsol-relaxed geometry (meta-GGA SCAN).

It has space group I4/mmm (No. 139), with a = 4.458 Å, b = 4.458 Å, c = 12.654 Å, α = 90.00°, β = 90.00° and γ = 90.00°. The asymmetric unit holds Ba at (0.000, 0.000, 0.000), In at (0.000, 0.500, 0.250) and Br at (0.000, 0.000, 0.500).

The value obtained for the raw formation energy is -0.795 eV per atom. The magnetic moment comes out at 0.00 μB/f.u. The density of states at the Fermi level comes out at 3.17 states/eV/f.u.

---

(5)
Entry from the Alexandria database: Nb3TeO at its PBEsol-relaxed geometry (meta-GGA SCAN).

It has space group Pm-3m (No. 221), with a = 4.984 Å, b = 4.984 Å, c = 4.984 Å, α = 90.00°, β = 90.00° and γ = 90.00°. The asymmetric unit holds Nb at (0.000, 0.000, 0.500), Te at (0.000, 0.000, 0.000) and O at (0.500, 0.500, 0.500).

The value obtained for the raw formation energy is 2.056 eV per atom. The magnetic moment comes out at 0.00 μB/f.u. The density of states at the Fermi level comes out at 6.57 states/eV/f.u.

---

(6)
Entry from the Alexandria database: PtRhAu2 at its PBEsol-relaxed geometry (meta-GGA SCAN).

It has space group R3m (No. 160, hexagonal axes), with a = 2.7910 Å, b = 2.7910 Å, c = 27.6924 Å, α = 90.00°, β = 90.00° and γ = 120.00°. The asymmetric unit holds Pt at (0.0000, 0.0000, 0.0000), Rh at (0.0000, 0.0000, 0.2557), Au at (0.0000, 0.0000, 0.5067) and Au at (0.0000, 0.0000, 0.7521).

Its formation enthalpy at 0 K is 0.074 eV per atom. The magnetic moment comes out at 1.28 μB/f.u. The density of states at the Fermi level comes out at 3.05 states/eV/f.u.

---

(7)
Entry from the Alexandria database: RbCdSb2S at its PBEsol-relaxed geometry (meta-GGA SCAN).

It has space group P4/mmm (No. 123), with a = 5.220 Å, b = 5.220 Å, c = 5.931 Å, α = 90.00°, β = 90.00° and γ = 90.00°. The asymmetric unit holds Rb at (0.000, 0.000, 0.000), Cd at (0.500, 0.500, 0.000), Sb at (0.000, 0.500, 0.500) and S at (0.000, 0.000, 0.500).

The value obtained for the raw formation energy is 0.140 eV per atom. The magnetic moment comes out at 0.00 μB/f.u. The density of states at the Fermi level comes out at 2.87 states/eV/f.u.

---

(8)
Entry from the Alexandria database: AlZn2Hg at its PBEsol-relaxed geometry (meta-GGA SCAN).

It has space group R-3m (No. 166, hexagonal axes), with a = 3.0550 Å, b = 3.0550 Å, c = 25.3073 Å, α = 90.00°, β = 90.00° and γ = 120.00°. The asymmetric unit holds Al at (0.0000, 0.0000, 0.0000), Zn at (0.0000, 0.0000, 0.2539) and Hg at (0.0000, 0.0000, 0.5000).

Its formation enthalpy at 0 K is 0.091 eV per atom. The magnetic moment comes out at 0.00 μB/f.u. The density of states at the Fermi level comes out at 1.11 states/eV/f.u.

---

(9)
Entry from the Alexandria database: GaHgAs2Br at its PBEsol-relaxed geometry (meta-GGA SCAN).

It has space group P4/mmm (No. 123), with a = 4.940 Å, b = 4.940 Å, c = 5.089 Å, α = 90.00°, β = 90.00° and γ = 90.00°. The asymmetric unit holds Ga at (0.000, 0.000, 0.000), Hg at (0.500, 0.500, 0.500), As at (0.000, 0.500, 0.000) and Br at (0.000, 0.000, 0.500).

The value obtained for the raw formation energy is 0.473 eV per atom. The magnetic moment comes out at 1.53 μB/f.u. The density of states at the Fermi level comes out at 3.41 states/eV/f.u.

---

(10)
Entry from the Alexandria database: CrRh5 at its PBEsol-relaxed geometry (meta-GGA SCAN).

It has space group Amm2 (No. 38), with a = 4.240 Å, b = 2.673 Å, c = 13.835 Å, α = 90.00°, β = 90.00° and γ = 90.00°. The asymmetric unit holds Cr at (0.000, 0.000, 0.000), Rh at (0.000, 0.000, 0.340), Rh at (0.000, 0.000, 0.664), Rh at (0.500, 0.000, 0.224), Rh at (0.500, 0.000, 0.555) and Rh at (0.500, 0.000, 0.892).

Its formation enthalpy at 0 K is -0.057 eV per atom. The magnetic moment comes out at 0.00 μB/f.u. The density of states at the Fermi level comes out at 5.84 states/eV/f.u.

---

(11)
Entry from the Alexandria database: BaLaAu2 at its PBEsol-relaxed geometry (meta-GGA SCAN).

It has space group Amm2 (No. 38), with a = 4.882 Å, b = 4.089 Å, c = 11.636 Å, α = 90.00°, β = 90.00° and γ = 90.00°. The asymmetric unit holds Ba at (0.000, 0.000, 0.000), La at (0.500, 0.000, 0.270), Au at (0.000, 0.000, 0.726) and Au at (0.500, 0.000, 0.566).

Its formation enthalpy at 0 K is -0.893 eV per atom. The magnetic moment comes out at 0.00 μB/f.u. The density of states at the Fermi level comes out at 3.02 states/eV/f.u.

---

(12)
Entry from the Alexandria database: TiTl2Tc at its PBEsol-relaxed geometry (meta-GGA SCAN).

It has space group Fm-3m (No. 225), with a = 6.589 Å, b = 6.589 Å, c = 6.589 Å, α = 90.00°, β = 90.00° and γ = 90.00°. The asymmetric unit holds Ti at (0.000, 0.000, 0.000), Tl at (0.250, 0.250, 0.250) and Tc at (0.000, 0.000, 0.500).

Its formation enthalpy at 0 K is 0.417 eV per atom. The magnetic moment comes out at 0.00 μB/f.u. The density of states at the Fermi level comes out at 3.07 states/eV/f.u.

---

Question: Number 11 is which compound?
Answer: BaLaAu2